Record 1
YHoTe3 | PBE | optimized geometry

Lattice parameters (Å, degrees): 8.3025 8.3025 8.3025 55.07 55.07 55.07
Atoms (fractional coordinates):
Y  0.1572  0.1572  0.1572
Y  0.8428  0.8428  0.8428
Ho  0.3426  0.3426  0.3426
Ho  0.6574  0.6574  0.6574
Te  0.0642  0.7487  0.4358
Te  0.2513  0.5642  0.9358
Te  0.4358  0.0642  0.7487
Te  0.5642  0.9358  0.2513
Te  0.7487  0.4358  0.0642
Te  0.9358  0.2513  0.5642

## Properties
- energy relative to the elements, uncorrected (eV per atom) = -1.37
- energy above the most stable polymorph in this dataset (meV per atom) = 0.0

=====

Record 2
Y3Ho4Te8 | PBE | optimized geometry

Lattice parameters (Å, degrees): 8.6678 8.6678 8.6676 119.99 119.99 90.01
Atoms (fractional coordinates):
Y  0.0000  0.0000  0.0000
Y  0.0000  0.5000  0.0000
Y  0.5000  0.0000  0.0000
Ho  0.0000  0.5000  0.5000
Ho  0.5000  0.0000  0.5000
Ho  0.5000  0.5000  0.0000
Ho  0.5000  0.5000  0.5000
Te  0.2451  0.7549  0.5000
Te  0.2458  0.2458  0.5015
Te  0.2460  0.2460  0.9903
Te  0.2508  0.7492  0.0000
Te  0.7492  0.2508  0.0000
Te  0.7540  0.7540  0.0097
Te  0.7542  0.7542  0.4985
Te  0.7549  0.2451  0.5000

## Properties
- energy relative to the elements, uncorrected (eV per atom) = -1.36

=====

Record 3
YHo4Te2 | PBE | optimized geometry

Lattice parameters (Å, degrees): 9.3564 9.3564 9.3564 33.66 33.66 33.66
Atoms (fractional coordinates):
Y  0.0000  0.0000  0.0000
Ho  0.2352  0.2352  0.2352
Ho  0.3662  0.3662  0.3662
Ho  0.6338  0.6338  0.6338
Ho  0.7648  0.7648  0.7648
Te  0.1173  0.1173  0.1173
Te  0.8827  0.8827  0.8827

## Properties
- energy relative to the elements, uncorrected (eV per atom) = -0.49

=====

Record 4
Y3HoTe3 | PBE | optimized geometry

Lattice parameters (Å, degrees): 7.8692 7.8692 7.8692 69.41 69.41 69.41
Atoms (fractional coordinates):
Y  0.1658  0.6564  0.4222
Y  0.3436  0.5778  0.8342
Y  0.4222  0.1658  0.6564
Y  0.5778  0.8342  0.3436
Y  0.6564  0.4222  0.1658
Y  0.8342  0.3436  0.5778
Ho  0.1877  0.1877  0.1877
Ho  0.8123  0.8123  0.8123
Te  0.0363  0.3994  0.8204
Te  0.1796  0.9637  0.6006
Te  0.3994  0.8204  0.0363
Te  0.6006  0.1796  0.9637
Te  0.8204  0.0363  0.3994
Te  0.9637  0.6006  0.1796

## Properties
- energy relative to the elements, uncorrected (eV per atom) = -1.03

=====

Record 5
YHo2Te2 | PBE | optimized geometry

Lattice parameters (Å, degrees): 7.2728 7.2728 8.3152 109.23 109.23 48.31
Atoms (fractional coordinates):
Y  0.1776  0.1776  0.0671
Y  0.8224  0.8224  0.9329
Ho  0.1897  0.1897  0.6536
Ho  0.4642  0.4642  0.1984
Ho  0.5358  0.5358  0.8016
Ho  0.8103  0.8103  0.3464
Te  0.0203  0.0203  0.2688
Te  0.3408  0.3408  0.4467
Te  0.6592  0.6592  0.5533
Te  0.9797  0.9797  0.7312

## Properties
- energy relative to the elements, uncorrected (eV per atom) = -0.93

=====

Record 6
YHo2Te4 | PBE | optimized geometry

Lattice parameters (Å, degrees): 8.4093 8.4093 7.5554 116.33 116.33 29.88
Atoms (fractional coordinates):
Y  0.0000  0.0000  0.0000
Ho  0.2559  0.2559  0.2704
Ho  0.7441  0.7441  0.7296
Te  0.1210  0.1210  0.4533
Te  0.3700  0.3700  0.0327
Te  0.6300  0.6300  0.9673
Te  0.8790  0.8790  0.5467

## Properties
- energy relative to the elements, uncorrected (eV per atom) = -1.38
- energy above the most stable polymorph in this dataset (meV per atom) = 0.0

=====

What did the third record say?
YHo4Te2 | PBE | optimized geometry

Lattice parameters (Å, degrees): 9.3564 9.3564 9.3564 33.66 33.66 33.66
Atoms (fractional coordinates):
Y  0.0000  0.0000  0.0000
Ho  0.2352  0.2352  0.2352
Ho  0.3662  0.3662  0.3662
Ho  0.6338  0.6338  0.6338
Ho  0.7648  0.7648  0.7648
Te  0.1173  0.1173  0.1173
Te  0.8827  0.8827  0.8827

## Properties
- energy relative to the elements, uncorrected (eV per atom) = -0.49